Entry 1:
This record from the Alexandria database describes a geometry-optimized AlRe2Si2 structure. The functional is PBE.

## Properties
- formation energy from raw total energies (eV per formula unit) = 0.0
- theoretical density (g/cm³) = 10.652

abc: 7.010 7.010 2.890
angles: 90.00 90.00 90.00
Fractional positions:
Al 0.000 0.000 0.000
Al 0.500 0.500 0.000
Re 0.159 0.341 0.500
Re 0.341 0.841 0.500
Re 0.659 0.159 0.500
Re 0.841 0.659 0.500
Si 0.137 0.637 0.000
Si 0.363 0.137 0.000
Si 0.637 0.863 0.000
Si 0.863 0.363 0.000


Entry 2:
This record from the Alexandria database describes a geometry-optimized BaCrPt structure. The functional is PBE.

## Properties
- energy of formation from the pure elements (meV per atom) = 79
- theoretical density (g/cm³) = 8.405

abc: 6.281 6.281 6.281
angles: 146.30 146.30 48.40
Fractional positions:
Ba 0.000 0.000 0.000
Cr 0.727 0.727 0.000
Pt 0.287 0.287 0.000


Entry 3:
This record from the Alexandria database describes a geometry-optimized Ag2Te4Pd structure. The functional is PBE.

## Properties
- formation energy from raw total energies (eV per formula unit) = -0.5
- theoretical density (g/cm³) = 7.172

abc: 8.561 8.561 8.561
angles: 134.72 116.49 81.39
Fractional positions:
Ag 0.000 0.000 0.500
Ag 0.000 0.500 0.000
Ag 0.418 0.168 0.250
Ag 0.582 0.832 0.750
Te 0.210 0.707 0.503
Te 0.239 0.236 0.496
Te 0.239 0.743 0.004
Te 0.296 0.293 0.003
Te 0.704 0.707 0.997
Te 0.761 0.257 0.996
Te 0.761 0.764 0.504
Te 0.790 0.293 0.497
Pd 0.000 0.500 0.500
Pd 0.500 0.500 0.000


Entry 4:
This record from the Alexandria database describes a geometry-optimized Mn4TcMo structure. The functional is PBE.

## Properties
- energy of formation from the pure elements (meV per atom) = -58
- theoretical density (g/cm³) = 9.392

abc: 4.694 4.694 4.694
angles: 60.00 60.00 60.00
Fractional positions:
Mn 0.125 0.125 0.125
Mn 0.125 0.125 0.625
Mn 0.125 0.625 0.125
Mn 0.625 0.125 0.125
Tc 0.500 0.500 0.500
Mo 0.750 0.750 0.750


Entry 5:
This record from the Alexandria database describes a geometry-optimized BaTlInBi2 structure. The functional is PBE.

## Properties
- energy of formation from the pure elements (meV per atom) = -314
- theoretical density (g/cm³) = 6.659

abc: 9.617 9.617 12.992
angles: 131.76 131.76 30.09
Fractional positions:
Ba 0.226 0.226 0.319
Ba 0.774 0.774 0.681
Tl 0.340 0.340 0.111
Tl 0.660 0.660 0.889
In 0.050 0.050 0.409
In 0.950 0.950 0.591
Bi 0.163 0.163 0.724
Bi 0.421 0.421 0.701
Bi 0.579 0.579 0.299
Bi 0.837 0.837 0.276


Entry 6:
This record from the Alexandria database describes a geometry-optimized AcTh2Fe structure. The functional is PBE.

## Properties
- energy of formation from the pure elements (meV per atom) = 16
- theoretical density (g/cm³) = 9.850

abc: 9.546 9.546 9.546
angles: 23.95 23.95 23.95
Fractional positions:
Ac 0.000 0.000 0.000
Th 0.551 0.551 0.551
Th 0.779 0.779 0.779
Fe 0.164 0.164 0.164


Entry 7:
This record from the Alexandria database describes a geometry-optimized TaMnNb2 structure. The functional is PBE.

## Properties
- energy of formation from the pure elements (meV per atom) = 510
- theoretical density (g/cm³) = 10.028

abc: 5.761 5.761 5.761
angles: 102.61 102.61 124.28
Fractional positions:
Ta 0.000 0.000 0.000
Ta 0.750 0.250 0.500
Mn 0.250 0.750 0.500
Mn 0.500 0.500 0.000
Nb 0.163 0.625 0.038
Nb 0.375 0.413 0.538
Nb 0.587 0.125 0.962
Nb 0.875 0.837 0.462


Entry 8:
This record from the Alexandria database describes a geometry-optimized Y2AlRuC structure. The functional is PBE.

## Properties
- energy of formation from the pure elements (meV per atom) = -391
- theoretical density (g/cm³) = 5.468

abc: 4.963 4.963 3.918
angles: 90.00 90.00 90.00
Fractional positions:
Y 0.000 0.500 0.000
Y 0.500 0.000 0.000
Al 0.000 0.000 0.500
Ru 0.500 0.500 0.500
C 0.500 0.500 0.000


Entry 9:
This record from the Alexandria database describes a geometry-optimized Tb2ZrS5 structure. The functional is PBE.

## Properties
- formation energy from raw total energies (eV per formula unit) = -14.5
- theoretical density (g/cm³) = 4.272

abc: 7.102 7.102 12.834
angles: 90.00 90.00 136.86
Fractional positions:
Tb 0.145 0.855 0.561
Tb 0.145 0.855 0.939
Tb 0.855 0.145 0.061
Tb 0.855 0.145 0.439
Zr 0.192 0.808 0.250
Zr 0.808 0.192 0.750
S 0.049 0.951 0.123
S 0.049 0.951 0.377
S 0.261 0.739 0.750
S 0.308 0.692 0.082
S 0.308 0.692 0.418
S 0.692 0.308 0.582
S 0.692 0.308 0.918
S 0.739 0.261 0.250
S 0.951 0.049 0.623
S 0.951 0.049 0.877


Entry 10:
This record from the Alexandria database describes a geometry-optimized Er2Mg3Hg2 structure. The functional is PBE.

## Properties
- energy of formation from the pure elements (meV per atom) = -231
- theoretical density (g/cm³) = 7.710

abc: 5.877 5.877 7.247
angles: 97.99 97.99 44.73
Fractional positions:
Er 0.121 0.121 0.354
Er 0.879 0.879 0.646
Mg 0.190 0.190 0.873
Mg 0.500 0.500 0.000
Mg 0.810 0.810 0.127
Hg 0.396 0.396 0.344
Hg 0.604 0.604 0.656


Entry 11:
This record from the Alexandria database describes a geometry-optimized AcGdP structure. The functional is PBE.

## Properties
- energy of formation from the pure elements (meV per atom) = -720
- theoretical density (g/cm³) = 7.689

abc: 7.051 7.051 7.051
angles: 149.57 149.57 43.57
Fractional positions:
Ac 0.000 0.000 0.000
Gd 0.252 0.252 0.000
P 0.645 0.645 0.000